Below is an optimized crystal structure of CrRh2, with properties calculated at the GGA-PBEsol level.

a b c (Å): 7.0566 7.0566 2.6589
angles (deg): 90.00 90.00 120.00
Atoms (fractional coordinates):
Cr: 0.0000 0.0000 0.0000
Cr: 0.3333 0.6667 0.5000
Cr: 0.6667 0.3333 0.5000
Rh: 0.0000 0.3631 0.0000
Rh: 0.0000 0.7017 0.5000
Rh: 0.2983 0.2983 0.5000
Rh: 0.3631 0.0000 0.0000
Rh: 0.6369 0.6369 0.0000
Rh: 0.7017 0.0000 0.5000

Results
Size of the total moment, Bohr magnetons per cell: 0.00
Density of states at the Fermi level, states/eV per atom: 1.134
Calculated total energy, eV for the cell shown: -80.4
SG: No. 189
ΔH_f (0 K), meV/atom: -92

***

Below is an optimized crystal structure of TmInCo4, with properties calculated at the GGA-PBEsol level.

a b c (Å): 4.8748 4.8748 4.8748
angles (deg): 60.00 60.00 60.00
Atoms (fractional coordinates):
Tm: 0.0000 0.0000 0.0000
In: 0.2500 0.2500 0.2500
Co: 0.1265 0.6245 0.6245
Co: 0.6245 0.1265 0.6245
Co: 0.6245 0.6245 0.1265
Co: 0.6245 0.6245 0.6245

Results
Size of the total moment, Bohr magnetons per cell: 4.22
Density of states at the Fermi level, states/eV per atom: 1.530
Calculated total energy, eV for the cell shown: -40.0
SG: No. 216
ΔH_f (0 K), meV/atom: -188

***

Below is an optimized crystal structure of Hf2SiIrO, with properties calculated at the GGA-PBEsol level.

a b c (Å): 5.0109 5.0109 3.3371
angles (deg): 90.00 90.00 90.00
Atoms (fractional coordinates):
Hf: 0.0000 0.5000 0.0000
Hf: 0.5000 0.0000 0.0000
Si: 0.0000 0.0000 0.0000
Ir: 0.5000 0.5000 0.5000
O: 0.0000 0.0000 0.5000

Results
Size of the total moment, Bohr magnetons per cell: 0.00
ΔE_f (raw), eV/atom: -0.14
Density of states at the Fermi level, states/eV per atom: 0.981
Calculated total energy, eV for the cell shown: -42.5
SG: No. 123

***

Below is an optimized crystal structure of NbSbNO2, with properties calculated at the GGA-PBEsol level.

a b c (Å): 3.9581 3.9581 4.0838
angles (deg): 90.00 90.00 90.00
Atoms (fractional coordinates):
Nb: 0.0000 0.0000 0.0000
Sb: 0.5000 0.5000 0.5000
N: 0.5000 0.5000 0.0000
O: 0.0000 0.5000 0.5000
O: 0.5000 0.0000 0.5000

Results
Size of the total moment, Bohr magnetons per cell: 2.68
ΔE_f (raw), eV/atom: 0.01
Density of states at the Fermi level, states/eV per atom: 0.660
Calculated total energy, eV for the cell shown: -34.3
SG: No. 123